A relaxed structure of Sm8TlPb6. Source: Alexandria, functional PBE.

For the formation energy from the elements, the calculation gives -9.43 kcal/mol of atoms. Its space group is R-3.

The structure in CIF format:
```
data_Sm8TlPb6
_chemical_formula_sum 'Sm8 Tl1 Pb6'
_space_group_name_H-M_alt 'P 1'
_space_group_IT_number 1
_cell_length_a 9.434
_cell_length_b 9.434
_cell_length_c 8.496
_cell_angle_alpha 56.28
_cell_angle_beta 56.28
_cell_angle_gamma 60.00
loop_
_space_group_symop_operation_xyz
'x,y,z'
loop_
_atom_site_label
_atom_site_type_symbol
_atom_site_fract_x
_atom_site_fract_y
_atom_site_fract_z
Sm1 Sm 0.101 0.378 0.711
Sm2 Sm 0.378 0.809 0.711
Sm3 Sm 0.332 0.332 0.003
Tl1 Tl 0.000 0.000 0.000
Pb1 Pb 0.557 0.928 0.224
Sm4 Sm 0.191 0.899 0.289
Pb2 Pb 0.928 0.292 0.224
Pb3 Pb 0.708 0.443 0.776
Pb4 Pb 0.072 0.708 0.776
Sm5 Sm 0.809 0.101 0.711
Pb5 Pb 0.443 0.072 0.776
Sm6 Sm 0.668 0.668 0.997
Sm7 Sm 0.899 0.622 0.289
Sm8 Sm 0.622 0.191 0.289
Pb6 Pb 0.292 0.557 0.224
```

***

A relaxed structure of ErTm2Ag3S6. Source: Alexandria, functional PBE.

Its total energy is -5.216 eV/atom. Its space group is C2/m.

The structure in CIF format:
```
data_ErTm2Ag3S6
_chemical_formula_sum 'Er1 Tm2 Ag3 S6'
_space_group_name_H-M_alt 'P 1'
_space_group_IT_number 1
_cell_length_a 4.019
_cell_length_b 11.799
_cell_length_c 7.913
_cell_angle_alpha 118.13
_cell_angle_beta 104.71
_cell_angle_gamma 90.00
loop_
_space_group_symop_operation_xyz
'x,y,z'
loop_
_atom_site_label
_atom_site_type_symbol
_atom_site_fract_x
_atom_site_fract_y
_atom_site_fract_z
Tm1 Tm 0.167 0.334 0.334
S1 S 0.025 0.862 0.049
S2 S 0.358 0.530 0.716
S3 S 0.308 0.802 0.616
Tm2 Tm 0.833 0.666 0.666
S4 S 0.642 0.470 0.284
Ag1 Ag 0.834 0.169 0.669
S5 S 0.692 0.198 0.384
S6 S 0.975 0.138 0.951
Ag2 Ag 0.166 0.831 0.331
Er1 Er 0.500 0.000 0.000
Ag3 Ag 0.500 0.500 0.000
```

***

Calculated values (μB/f.u.) of total magnetic moment for the records, taken in order: 0.00, 0.00.
Calculated values (states/eV/cell) of density of states at the Fermi level for the records, taken in order: 7.381, 0.000.
Calculated values (g cm⁻³) of ρ for the records, taken in order: 8.8, 5.4.